Entry 1:
DFT (PBE) results for a geometry-optimized TlMoS2 structure.

a = 6.702 Å, b = 6.702 Å, c = 9.887 Å
α = 90.00°, β = 90.00°, γ = 90.00°
Space group I-42d (No. 122)
Unique sites:
1 Tl 0.000 0.000 0.000
2 Mo 0.000 0.000 0.500
3 S 0.139 0.250 0.625

Summary:
ΔE to the lowest computed polymorph (meV per atom): 226.4
Crystal system: tetragonal

***

Entry 2:
DFT (PBE) results for a geometry-optimized TlMo3S structure.

a = 4.480 Å, b = 4.480 Å, c = 4.480 Å
α = 90.00°, β = 90.00°, γ = 90.00°
Space group Pm-3m (No. 221)
Unique sites:
1 Tl 0.000 0.000 0.000
2 Mo 0.000 0.500 0.500
3 S 0.500 0.500 0.500

Summary:
ΔE to the lowest computed polymorph (meV per atom): 0.0
Crystal system: cubic

***

Entry 3:
DFT (PBE) results for a geometry-optimized TlMo3S structure.

a = 5.012 Å, b = 5.012 Å, c = 5.012 Å
α = 90.00°, β = 90.00°, γ = 90.00°
Space group Pm-3m (No. 221)
Unique sites:
1 Tl 0.000 0.000 0.000
2 Mo 0.000 0.000 0.500
3 S 0.500 0.500 0.500

Summary:
ΔE to the lowest computed polymorph (meV per atom): 2409.5
Crystal system: cubic

***

Entry 4:
DFT (PBE) results for a geometry-optimized Tl2MoS structure.

a = 7.945 Å, b = 7.945 Å, c = 6.021 Å
α = 90.00°, β = 90.00°, γ = 90.00°
Space group I-42d (No. 122)
Unique sites:
1 Tl 0.245 0.250 0.125
2 Mo 0.000 0.000 0.500
3 S 0.000 0.000 0.000

Summary:
ΔE to the lowest computed polymorph (meV per atom): 0.0
Crystal system: tetragonal

***

Entry 5:
DFT (PBE) results for a geometry-optimized TlMoS2 structure.

a = 6.540 Å, b = 6.540 Å, c = 6.540 Å
α = 90.00°, β = 90.00°, γ = 90.00°
Space group Fm-3m (No. 225)
Unique sites:
1 Tl 0.000 0.000 0.000
2 Mo 0.000 0.000 0.500
3 S 0.250 0.250 0.250

Summary:
ΔE to the lowest computed polymorph (meV per atom): 835.8
Crystal system: cubic

***

Entry 6:
DFT (PBE) results for a geometry-optimized Tl3MoS structure.

a = 5.247 Å, b = 5.247 Å, c = 5.247 Å
α = 90.00°, β = 90.00°, γ = 90.00°
Space group Pm-3m (No. 221)
Unique sites:
1 Tl 0.000 0.000 0.500
2 Mo 0.500 0.500 0.500
3 S 0.000 0.000 0.000

Summary:
ΔE to the lowest computed polymorph (meV per atom): 612.6
Crystal system: cubic

***

Entry 7:
DFT (PBE) results for a geometry-optimized Tl3MoS structure.

a = 5.446 Å, b = 5.446 Å, c = 5.446 Å
α = 90.00°, β = 90.00°, γ = 90.00°
Space group Pm-3m (No. 221)
Unique sites:
1 Tl 0.000 0.000 0.500
2 Mo 0.000 0.000 0.000
3 S 0.500 0.500 0.500

Summary:
ΔE to the lowest computed polymorph (meV per atom): 0.0
Crystal system: cubic

***

Entry 8:
DFT (PBE) results for a geometry-optimized TlMoS2 structure.

a = 3.2657 Å, b = 3.2657 Å, c = 26.8409 Å
α = 90.00°, β = 90.00°, γ = 120.00°
Space group R-3m (No. 166, hexagonal axes)
Unique sites:
1 Tl 0.0000 0.0000 0.0000
2 Mo 0.0000 0.0000 0.5000
3 S 0.0000 0.0000 0.2251

Summary:
ΔE to the lowest computed polymorph (meV per atom): 6.4
Crystal system: trigonal

***

Entry 9:
DFT (PBE) results for a geometry-optimized Tl2MoS structure.

a = 7.270 Å, b = 7.270 Å, c = 7.270 Å
α = 90.00°, β = 90.00°, γ = 90.00°
Space group Fm-3m (No. 225)
Unique sites:
1 Tl 0.250 0.250 0.250
2 Mo 0.000 0.000 0.000
3 S 0.000 0.000 0.500

Summary:
ΔE to the lowest computed polymorph (meV per atom): 201.8
Crystal system: cubic

***

Entry 10:
DFT (PBE) results for a geometry-optimized TlMoS2 structure.

a = 3.2699 Å, b = 3.2699 Å, c = 28.2372 Å
α = 90.00°, β = 90.00°, γ = 120.00°
Space group R-3m (No. 166, hexagonal axes)
Unique sites:
1 Tl 0.0000 0.0000 0.0000
2 Mo 0.0000 0.0000 0.5000
3 S 0.0000 0.0000 0.1116

Summary:
ΔE to the lowest computed polymorph (meV per atom): 0.0
Crystal system: trigonal

***

Entry 11:
DFT (PBE) results for a geometry-optimized TlVMoS2 structure.

a = 5.108 Å, b = 5.108 Å, c = 5.088 Å
α = 90.00°, β = 90.00°, γ = 90.00°
Space group P4/mmm (No. 123)
Unique sites:
1 Tl 0.000 0.000 0.000
2 V 0.000 0.000 0.500
3 Mo 0.500 0.500 0.500
4 S 0.000 0.500 0.000

Summary:
VASP energy (hartree per atom): -0.1528
Crystal system: tetragonal

***

Entry 12:
DFT (PBE) results for a geometry-optimized TmMo6S8 structure.

a = 9.1254 Å, b = 9.1254 Å, c = 11.3128 Å
α = 90.00°, β = 90.00°, γ = 120.00°
Space group R-3 (No. 148, hexagonal axes)
Unique sites:
1 Tm 0.0000 0.0000 0.0000
2 Mo 0.0200 0.8414 0.4007
3 S 0.0000 0.0000 0.2365
4 S 0.0042 0.3838 0.7494

Summary:
VASP energy (hartree per atom): -0.2839
Crystal system: trigonal